An optimized crystal structure of CoAgBrF2, computed with GGA+U.

As for the energy: -3.92 eV/atom. Its crystal system is monoclinic.

The space group is P2_1/m (No. 11) and the conventional cell measures 6.0971, 3.7688 and 8.3811 Å, with angles of 90.00, 93.32 and 90.00 degrees. The inequivalent atoms are Co at (0.0194, 0.2500, 0.1627), Ag at (0.3285, 0.2500, 0.5455), Br at (0.4209, 0.2500, 0.2321), F at (0.0724, 0.2500, 0.9102) and F at (0.0879, 0.7500, 0.6279).